# 1
First-principles (PBE) data for a relaxed structure of EuTaS2, as listed in Alexandria.

## Properties
The formation energy (no corrections) comes out at -0.831 eV per atom.

CIF file:
```
data_EuTaS2
_cell_length_a 3.5058
_cell_length_b 3.5058
_cell_length_c 26.2618
_cell_angle_alpha 90.00
_cell_angle_beta 90.00
_cell_angle_gamma 120.00
_space_group_name_H-M_alt 'R -3 m'
_space_group_IT_number 166
_space_group_name_Hall '-R 3 2"'
loop_
_atom_site_label
_atom_site_type_symbol
_atom_site_fract_x
_atom_site_fract_y
_atom_site_fract_z
Eu1 Eu 0.0000 0.0000 0.0000
Ta1 Ta 0.0000 0.0000 0.5000
S1 S 0.0000 0.0000 0.1097
```

# 2
First-principles (PBE) data for a relaxed structure of DyMg2SnAu4, as listed in Alexandria.

## Properties
For the energy of formation from the pure elements, the calculation gives -12.95 kcal/mol of atoms.

CIF file:
```
data_DyMg2SnAu4
_cell_length_a 4.6713
_cell_length_b 4.6713
_cell_length_c 26.4495
_cell_angle_alpha 90.00
_cell_angle_beta 90.00
_cell_angle_gamma 120.00
_space_group_name_H-M_alt 'R -3 m'
_space_group_IT_number 166
_space_group_name_Hall '-R 3 2"'
loop_
_atom_site_label
_atom_site_type_symbol
_atom_site_fract_x
_atom_site_fract_y
_atom_site_fract_z
Dy1 Dy 0.0000 0.0000 0.0000
Mg1 Mg 0.0000 0.0000 0.2479
Sn1 Sn 0.0000 0.0000 0.5000
Au1 Au 0.0000 0.0000 0.1162
Au2 Au 0.0000 0.0000 0.3841
```

For each record above, in turn, the calculated raw total energy values are -8.426 -3.675 eV/atom.